ScBe2Zn: relaxed, PBE.

Output
Its final energy is -3.5703 eV per atom. The crystal system is tetragonal. Its total magnetization is 0.0 μB per cell. Its density of states at the Fermi level is 3.56 states/eV per cell. For the volume, the calculation gives 15.8 Å³/atom. For the formation energy, the calculation gives 75.0 kJ/mol of formula units.

Cell and atoms, written as POSCAR:
```
ScBe2Zn
1.0
-2.029 2.029 7.689
2.029 -2.029 7.689
2.029 2.029 -7.689
Sc Be Zn
2 4 2
Cartesian
2.029 1.015 1.922
0.000 1.015 5.766
0.000 0.000 0.000
1.015 1.015 -3.844
1.015 -1.015 3.844
0.000 2.029 0.000
2.029 -1.015 5.766
0.000 3.044 1.922
```